# 1
## MgTi3Pt (PBE)

Data for a relaxed structure of MgTi3Pt.

Lattice parameters (Å, degrees): 4.848 4.848 4.848 90.00 90.00 90.00
Space group Pm-3m (No. 221)
Unique sites:
Mg 0.000 0.000 0.000 (multiplicity 1)
Ti 0.000 0.500 0.500 (multiplicity 3)
Pt 0.500 0.500 0.500 (multiplicity 1)

Properties
**E_form**: 0.300 eV/atom
**Offset from the most stable computed form**: 0.00 eV/f.u.

# 2
## Sc3Sb (PBE)

Data for a relaxed structure of Sc3Sb.

Lattice parameters (Å, degrees): 11.517 11.517 5.814 90.00 90.00 90.00
Space group P4_2/n (No. 86, origin choice 2)
Unique sites:
Sc 0.034 0.574 0.244 (multiplicity 8)
Sc 0.101 0.218 0.032 (multiplicity 8)
Sc 0.142 0.667 0.716 (multiplicity 8)
Sb 0.050 0.206 0.534 (multiplicity 8)

Properties
**Offset from the most stable computed form**: 0.00 eV/f.u.
**Formation energy without anion corrections**: -53.0 kJ/mol of atoms

# 3
## NdTl5Cl8 (PBE)

Data for a relaxed structure of NdTl5Cl8.

Lattice parameters (Å, degrees): 9.369 9.369 9.709 90.00 90.00 90.00
Space group I-4 (No. 82)
Unique sites:
Nd 0.000 0.000 0.000 (multiplicity 2)
Tl 0.000 0.500 0.750 (multiplicity 2)
Tl 0.120 0.759 0.382 (multiplicity 8)
Cl 0.063 0.832 0.747 (multiplicity 8)
Cl 0.073 0.714 0.072 (multiplicity 8)

Properties
**Formation energy without anion corrections**: -132.7 kJ/mol of atoms

# 4
## Ba2PaBeO6 (PBE)

Data for a relaxed structure of Ba2PaBeO6.

Lattice parameters (Å, degrees): 5.9166 5.9166 5.3316 90.00 90.00 120.00
Space group P-3m1 (No. 164)
Unique sites:
Ba 0.3333 0.6667 0.1523 (multiplicity 2)
Pa 0.0000 0.0000 0.5000 (multiplicity 1)
Be 0.0000 0.0000 0.0000 (multiplicity 1)
O 0.1488 0.2976 0.7799 (multiplicity 6)

Properties
**Formation energy without anion corrections**: -255.4 kJ/mol of atoms

# 5
## CaCoW (PBE)

Data for a relaxed structure of CaCoW.

Lattice parameters (Å, degrees): 6.130 6.130 6.130 90.00 90.00 90.00
Space group F-43m (No. 216)
Unique sites:
Ca 0.000 0.000 0.000 (multiplicity 4)
Co 0.250 0.250 0.750 (multiplicity 4)
W 0.000 0.000 0.500 (multiplicity 4)

Properties
**E_form**: 1.025 eV/atom
**Offset from the most stable computed form**: 1.76 eV/f.u.

# 6
## CsTmPb5 (PBE)

Data for a relaxed structure of CsTmPb5.

Lattice parameters (Å, degrees): 4.684 4.684 11.817 90.00 90.00 90.00
Space group P4/mmm (No. 123)
Unique sites:
Cs 0.000 0.000 0.000 (multiplicity 1)
Tm 0.500 0.500 0.500 (multiplicity 1)
Pb 0.000 0.000 0.500 (multiplicity 1)
Pb 0.000 0.500 0.283 (multiplicity 4)

Properties
**E_form**: -0.186 eV/atom

Which formula does entry 5 have?
CaCoW

What did the fifth record say?
## CaCoW (PBE)

Data for a relaxed structure of CaCoW.

Lattice parameters (Å, degrees): 6.130 6.130 6.130 90.00 90.00 90.00
Space group F-43m (No. 216)
Unique sites:
Ca 0.000 0.000 0.000 (multiplicity 4)
Co 0.250 0.250 0.750 (multiplicity 4)
W 0.000 0.000 0.500 (multiplicity 4)

Properties
**E_form**: 1.025 eV/atom
**Offset from the most stable computed form**: 1.76 eV/f.u.

Repeat the second record exactly.
## Sc3Sb (PBE)

Data for a relaxed structure of Sc3Sb.

Lattice parameters (Å, degrees): 11.517 11.517 5.814 90.00 90.00 90.00
Space group P4_2/n (No. 86, origin choice 2)
Unique sites:
Sc 0.034 0.574 0.244 (multiplicity 8)
Sc 0.101 0.218 0.032 (multiplicity 8)
Sc 0.142 0.667 0.716 (multiplicity 8)
Sb 0.050 0.206 0.534 (multiplicity 8)

Properties
**Offset from the most stable computed form**: 0.00 eV/f.u.
**Formation energy without anion corrections**: -53.0 kJ/mol of atoms

Which formula does entry 6 have?
CsTmPb5